# 1
Entry from Alexandria: an optimized crystal structure of Nd2HoPu (GGA-PBE).

Values from the calculation:
M_tot: 1.53 μB/atom
calculated volume: 32.5 A^3/atom
final energy: -28.0 eV for the cell shown
DFT formation energy: 0.1234 eV/atom
energy above the most stable polymorph in this dataset: 8.7 meV/atom

a b c (Å): 3.601 3.601 11.755
angles (deg): 81.19 81.19 60.00
Each line ends with the local moment (μB).
Sites, in units of the cell vectors:
Nd 0.251 0.251 0.248  -0.04
Nd 0.083 0.083 0.752  0.00
Ho 0.500 0.500 0.500  0.11
Pu 0.667 0.667 0.000  -5.63

---

# 2
Entry from Alexandria: an optimized crystal structure of Nd6Ho3Pu (GGA-PBE).

Values from the calculation:
M_tot: 0.61 μB/atom
calculated volume: 33.6 A^3/atom
final energy: -108.9 eV for the cell shown
DFT formation energy: 0.2224 eV/atom

a b c (Å): 6.174 9.403 11.571
angles (deg): 90.00 89.15 90.00
Each line ends with the local moment (μB).
Sites, in units of the cell vectors:
Nd 0.486 0.841 0.930  0.03
Nd 0.363 0.483 0.256  0.07
Nd 0.514 0.159 0.070  0.03
Nd 0.863 0.017 0.756  0.07
Nd 0.986 0.659 0.430  0.03
Nd 0.014 0.341 0.570  0.03
Nd 0.637 0.517 0.744  0.07
Nd 0.137 0.983 0.244  0.07
Nd 0.007 0.336 0.928  0.03
Nd 0.993 0.664 0.072  0.03
Nd 0.507 0.164 0.428  0.03
Nd 0.493 0.836 0.572  0.03
Ho 0.500 0.500 0.000  -0.03
Ho 0.379 0.166 0.749  -0.05
Ho 0.621 0.834 0.251  -0.05
Ho 0.000 0.000 0.500  -0.03
Ho 0.879 0.334 0.249  -0.05
Ho 0.121 0.666 0.751  -0.05
Pu 0.000 0.000 0.000  5.58
Pu 0.500 0.500 0.500  5.58

---

# 3
Entry from Alexandria: an optimized crystal structure of Nd2Ho6Pu (GGA-PBE).

Values from the calculation:
M_tot: 0.71 μB/atom
calculated volume: 31.5 A^3/atom
final energy: -101.7 eV for the cell shown
DFT formation energy: 0.0551 eV/atom

a b c (Å): 6.158 9.373 10.594
angles (deg): 108.13 84.74 102.73
Each line ends with the local moment (μB).
Sites, in units of the cell vectors:
Pu 0.814 0.864 0.892  5.60
Pu 0.186 0.136 0.108  5.60
Ho 0.917 0.083 0.670  0.03
Ho 0.365 0.974 0.782  0.14
Ho 0.306 0.358 0.893  0.02
Ho 0.252 0.754 0.001  0.13
Ho 0.864 0.473 0.782  0.01
Ho 0.635 0.026 0.218  0.14
Ho 0.529 0.809 0.442  -0.04
Ho 0.471 0.191 0.558  -0.04
Ho 0.136 0.527 0.218  0.01
Ho 0.748 0.246 0.999  0.13
Ho 0.083 0.917 0.330  0.03
Ho 0.694 0.642 0.107  0.02
Nd 0.575 0.414 0.326  0.01
Nd 0.974 0.699 0.558  0.01
Nd 0.425 0.586 0.674  0.01
Nd 0.026 0.301 0.442  0.01

---

# 4
Entry from Alexandria: an optimized crystal structure of Nd7Ho12Pu (GGA-PBE).

Values from the calculation:
M_tot: 0.36 μB/atom
calculated volume: 36.1 A^3/atom
final energy: -89.2 eV for the cell shown
DFT formation energy: 0.6739 eV/atom

a b c (Å): 9.789 9.789 9.789
angles (deg): 109.47 109.47 109.47
Each line ends with the local moment (μB).
Sites, in units of the cell vectors:
Nd 0.500 0.000 0.500  0.02
Nd 0.500 0.000 0.000  -0.02
Nd 0.500 0.500 0.000  0.02
Nd 0.000 0.500 0.500  0.02
Nd 0.500 0.500 0.500  -0.02
Nd 0.000 0.000 0.500  -0.02
Nd 0.000 0.500 0.000  -0.02
Ho 0.243 0.000 0.757  -0.06
Ho 0.757 0.757 0.514  -0.06
Ho 0.757 0.514 0.757  -0.06
Ho 0.000 0.243 0.757  -0.06
Ho 0.514 0.757 0.757  -0.06
Ho 0.243 0.757 0.000  -0.06
Ho 0.000 0.757 0.243  -0.06
Ho 0.243 0.243 0.486  -0.06
Ho 0.243 0.486 0.243  -0.06
Ho 0.486 0.243 0.243  -0.06
Ho 0.757 0.000 0.243  -0.06
Ho 0.757 0.243 0.000  -0.06
Pu 0.000 0.000 0.000  -5.69